A plane-wave DFT calculation with PBE was carried out for HoAsRh3 after structural relaxation.

The structure belongs to space group R3m (No. 160, hexagonal axes); the cell edges are 6.7379, 6.7379 and 7.0097 Å and the angles 90.00°, 90.00° and 120.00°. The inequivalent atoms are Ho at (0.0000, 0.0000, 0.0000), As at (0.0000, 0.0000, 0.4116) and Rh at (0.1935, 0.3870, 0.3358).

The calculated formation energy comes out at -0.5554 eV per atom. As for the crystal system: trigonal. The value obtained for the magnetic moment is 0.0 μB per cell. The offset from the most stable computed form comes out at 85 meV per atom.

A plane-wave DFT calculation with PBE was carried out for Ho3As4Rh4 after structural relaxation.

The structure belongs to space group Immm (No. 71); the cell edges are 4.0720, 7.1237 and 13.6638 Å and the angles 90.00°, 90.00° and 90.00°. The inequivalent atoms are Ho at (0.0000, 0.0000, 0.0000), Ho at (0.0000, 0.5000, 0.1250), As at (0.0000, 0.0000, 0.2169), As at (0.0000, 0.2054, 0.5000) and Rh at (0.0000, 0.2964, 0.3229).

The calculated formation energy comes out at -1.0462 eV per atom. As for the crystal system: orthorhombic. The value obtained for the magnetic moment is 0.0 μB per cell.

- Which value of calculated formation energy does entry 2 give?
  -1.0462 eV per atom

Please write out number 2 again, unchanged.
A plane-wave DFT calculation with PBE was carried out for Ho3As4Rh4 after structural relaxation.

The structure belongs to space group Immm (No. 71); the cell edges are 4.0720, 7.1237 and 13.6638 Å and the angles 90.00°, 90.00° and 90.00°. The inequivalent atoms are Ho at (0.0000, 0.0000, 0.0000), Ho at (0.0000, 0.5000, 0.1250), As at (0.0000, 0.0000, 0.2169), As at (0.0000, 0.2054, 0.5000) and Rh at (0.0000, 0.2964, 0.3229).

The calculated formation energy comes out at -1.0462 eV per atom. As for the crystal system: orthorhombic. The value obtained for the magnetic moment is 0.0 μB per cell.

- Number 1 is which compound?
  HoAsRh3